Run one
The following is a DFT calculation (PBE-GGA) of an optimized crystal structure of CaCeLu.

abc: 3.554 3.554 8.981
angles: 90.00 90.00 120.00
Site moments in Bohr magnetons follow the coordinates.
Fractional coordinates of all 3 atoms:
1 Ca 0.000 0.000 0.003  0.02
2 Lu 0.667 0.333 0.347  0.01
3 Ce 0.333 0.667 0.650  0.77

Values from the calculation:
M_tot (μB per formula unit): 1.04
Symmetry: P3m1, No. 156



Run two
The following is a DFT calculation (PBE-GGA) of an optimized crystal structure of CaCeLu.

abc: 3.546 3.546 8.287
angles: 102.35 102.35 90.00
Site moments in Bohr magnetons follow the coordinates.
Fractional coordinates of all 3 atoms:
1 Ca 0.001 0.001 0.002  -0.02
2 Lu 0.676 0.676 0.352  0.03
3 Ce 0.323 0.323 0.645  -0.77

Values from the calculation:
M_tot (μB per formula unit): 0.94
Symmetry: I4mm, No. 107



It comes down to run one, which is 15 meV per atom more stable than the next structure.



Run one
The following is a DFT calculation (PBE-GGA) of an optimized crystal structure of Ca2CeMg.

abc: 5.438 5.039 5.039
angles: 90.00 90.00 90.00
Site moments in Bohr magnetons follow the coordinates.
Fractional coordinates of all 4 atoms:
1 Ca 0.000 0.000 0.500  0.01
2 Ca 0.000 0.500 0.000  0.01
3 Mg 0.500 0.000 0.000  0.01
4 Ce 0.500 0.500 0.500  1.05

Values from the calculation:
M_tot (μB per formula unit): 1.46
Symmetry: P4/mmm, No. 123



Run two
The following is a DFT calculation (PBE-GGA) of an optimized crystal structure of Ca2CeMg.

abc: 3.580 3.580 10.523
angles: 90.00 90.00 90.00
Site moments in Bohr magnetons follow the coordinates.
Fractional coordinates of all 4 atoms:
1 Ca 0.000 0.000 0.771  0.03
2 Ca 0.000 0.000 0.229  0.03
3 Mg 0.500 0.500 0.000  0.00
4 Ce 0.500 0.500 0.500  1.14

Values from the calculation:
M_tot (μB per formula unit): 1.84
Symmetry: P4/mmm, No. 123



It comes down to run two, which is 48 meV per atom more stable than the next structure.



Run one
The following is a DFT calculation (PBE-GGA) of an optimized crystal structure of CaCeMg6.

abc: 6.807 6.807 5.263
angles: 90.00 90.00 119.56
Site moments in Bohr magnetons follow the coordinates.
Fractional coordinates of all 8 atoms:
1 Ca 0.086 0.914 0.000  0.01
2 Ce 0.414 0.586 0.500  0.96
3 Mg 0.591 0.925 0.000  0.00
4 Mg 0.075 0.409 0.000  0.00
5 Mg 0.586 0.414 0.000  0.00
6 Mg 0.903 0.564 0.500  0.01
7 Mg 0.436 0.097 0.500  0.01
8 Mg 0.909 0.091 0.500  0.01

Values from the calculation:
M_tot (μB per formula unit): 1.45
Symmetry: Amm2, No. 38



Run two
The following is a DFT calculation (PBE-GGA) of an optimized crystal structure of CaCeMg6.

abc: 6.797 6.797 4.646
angles: 90.00 90.00 90.04
Site moments in Bohr magnetons follow the coordinates.
Fractional coordinates of all 8 atoms:
1 Ca 0.375 0.625 0.000  0.02
2 Ce 0.875 0.125 0.000  0.90
3 Mg 0.875 0.625 0.000  0.00
4 Mg 0.375 0.125 0.000  0.00
5 Mg 0.629 0.879 0.500  0.00
6 Mg 0.121 0.371 0.500  0.00
7 Mg 0.121 0.879 0.500  0.00
8 Mg 0.629 0.371 0.500  0.00

Values from the calculation:
M_tot (μB per formula unit): 1.27
Symmetry: P4/mmm, No. 123



It comes down to run one, which is 20 meV per atom more stable than the next structure.



Run one
The following is a DFT calculation (PBE-GGA) of an optimized crystal structure of CaCeNd2.

abc: 3.630 3.630 10.515
angles: 90.00 90.00 90.00
Site moments in Bohr magnetons follow the coordinates.
Fractional coordinates of all 4 atoms:
1 Ca 0.500 0.500 0.500  0.00
2 Nd 0.000 0.000 0.774  0.00
3 Nd 0.000 0.000 0.226  0.00
4 Ce 0.500 0.500 0.000  0.15

Values from the calculation:
M_tot (μB per formula unit): 0.16
Symmetry: P4/mmm, No. 123



Run two
The following is a DFT calculation (PBE-GGA) of an optimized crystal structure of CaCeNd2.

abc: 5.869 5.869 5.869
angles: 60.00 60.00 60.00
Site moments in Bohr magnetons follow the coordinates.
Fractional coordinates of all 4 atoms:
1 Ca 0.500 0.500 0.500  0.03
2 Nd 0.250 0.250 0.250  0.17
3 Nd 0.750 0.750 0.750  0.17
4 Ce 0.000 0.000 0.000  1.05

Values from the calculation:
M_tot (μB per formula unit): 2.15
Symmetry: Fm-3m, No. 225



Run three
The following is a DFT calculation (PBE-GGA) of an optimized crystal structure of CaCeNd2.

abc: 4.286 4.286 9.118
angles: 76.41 76.41 60.00
Fractional coordinates of all 4 atoms:
1 Ca 0.499 0.499 0.504
2 Ce 0.670 0.670 0.990
3 Nd 0.060 0.060 0.821
4 Nd 0.272 0.272 0.185

Values from the calculation:
M_tot (μB per formula unit): 0.00
Symmetry: R3m, No. 160



It comes down to run one, which is 159 meV per atom more stable than the next structure.



Run one
The following is a DFT calculation (PBE-GGA) of an optimized crystal structure of CaCeNi2.

abc: 3.433 3.433 6.924
angles: 90.00 90.00 90.00
Fractional coordinates of all 4 atoms:
1 Ni 0.000 0.000 0.799
2 Ni 0.000 0.000 0.201
3 Ca 0.500 0.500 0.500
4 Ce 0.500 0.500 0.000

Values from the calculation:
M_tot (μB per formula unit): 0.00
Symmetry: P4/mmm, No. 123



Run two
The following is a DFT calculation (PBE-GGA) of an optimized crystal structure of CaCeNi2.

abc: 4.824 4.824 4.824
angles: 60.00 60.00 60.00
Site moments in Bohr magnetons follow the coordinates.
Fractional coordinates of all 4 atoms:
1 Ni 0.250 0.250 0.250  -0.03
2 Ni 0.750 0.750 0.750  -0.03
3 Ca 0.000 0.000 0.000  0.01
4 Ce 0.500 0.500 0.500  0.39

Values from the calculation:
M_tot (μB per formula unit): 0.47
Symmetry: Fm-3m, No. 225



It comes down to run one, which is 87 meV per atom more stable than the next structure.